# 1
# Re2P

A geometry-optimized Re2P structure (PBE-GGA, the Alexandria database).

abc: 10.346 10.346 10.346
angles: 163.78 163.78 23.02
Sites, in units of the cell vectors:
1 P 0.000 0.000 0.000
2 P 0.750 0.250 0.500
3 Re 0.321 0.821 0.500
4 Re 0.429 0.429 0.000
5 Re 0.571 0.571 0.000
6 Re 0.179 0.679 0.500

Output
Space group   I4_1/amd (141)
Magnetization   0.000 μB/atom
Calculated volume   14.41 A^3/atom
Energy of formation from the pure elements   0.230 eV/atom
Excess energy over the best structure of this formula in the dataset   521 meV/atom
Raw total energy   -59.229 eV for the cell shown

# 2
# Re2P

A geometry-optimized Re2P structure (PBE-GGA, the Alexandria database).

abc: 4.767 4.767 4.767
angles: 109.14 109.14 110.13
Sites, in units of the cell vectors:
1 Re 0.326 0.174 0.500
2 Re 0.174 0.674 0.848
3 Re 0.674 0.826 0.500
4 Re 0.826 0.326 0.152
5 P 0.250 0.250 0.000
6 P 0.750 0.750 0.000

Output
Space group   I4/mcm (140)
Magnetization   0.000 μB/atom
Calculated volume   13.89 A^3/atom
Energy of formation from the pure elements   0.112 eV/atom
Excess energy over the best structure of this formula in the dataset   403 meV/atom
Raw total energy   -59.939 eV for the cell shown

# 3
# ReP2

A geometry-optimized ReP2 structure (PBE-GGA, the Alexandria database).

abc: 4.521 4.521 10.444
angles: 90.00 90.00 120.00
Sites, in units of the cell vectors:
1 P 0.841 0.681 0.250
2 P 0.159 0.841 0.750
3 P 0.000 0.000 0.500
4 P 0.159 0.319 0.750
5 P 0.000 0.000 0.000
6 P 0.319 0.159 0.250
7 P 0.841 0.159 0.250
8 P 0.681 0.841 0.750
9 Re 0.667 0.333 0.061
10 Re 0.667 0.333 0.439
11 Re 0.333 0.667 0.561
12 Re 0.333 0.667 0.939

Output
Space group   P6_3/mmc (194)
Magnetization   0.000 μB/atom
Calculated volume   15.41 A^3/atom
Energy of formation from the pure elements   0.387 eV/atom
Raw total energy   -88.429 eV for the cell shown

# 4
# ReP2

A geometry-optimized ReP2 structure (PBE-GGA, the Alexandria database).

abc: 4.446 4.446 2.547
angles: 90.00 90.00 120.00
Sites, in units of the cell vectors:
1 Re 0.000 0.000 0.000
2 P 0.667 0.333 0.000
3 P 0.333 0.667 0.000

Output
Space group   P6/mmm (191)
Magnetization   0.000 μB/atom
Calculated volume   14.53 A^3/atom
Energy of formation from the pure elements   0.277 eV/atom
Raw total energy   -22.437 eV for the cell shown

# 5
# ReP2

A geometry-optimized ReP2 structure (PBE-GGA, the Alexandria database).

abc: 3.117 3.117 10.247
angles: 90.00 90.00 120.00
Sites, in units of the cell vectors:
1 Re 0.000 0.000 0.250
2 Re 0.000 0.000 0.750
3 P 0.667 0.333 0.090
4 P 0.333 0.667 0.590
5 P 0.667 0.333 0.410
6 P 0.333 0.667 0.910

Output
Space group   P6_3/mmc (194)
Magnetization   0.000 μB/atom
Calculated volume   14.37 A^3/atom
Energy of formation from the pure elements   -0.158 eV/atom
Raw total energy   -47.482 eV for the cell shown

# 6
# Re6P7

A geometry-optimized Re6P7 structure (PBE-GGA, the Alexandria database).

abc: 10.587 10.587 10.587
angles: 25.44 25.44 25.44
Sites, in units of the cell vectors:
1 Re 0.313 0.313 0.313
2 Re 0.687 0.687 0.687
3 Re 0.812 0.812 0.812
4 Re 0.041 0.041 0.041
5 Re 0.188 0.188 0.188
6 Re 0.959 0.959 0.959
7 P 0.906 0.423 0.423
8 P 0.577 0.577 0.094
9 P 0.094 0.577 0.577
10 P 0.423 0.423 0.906
11 P 0.423 0.906 0.423
12 P 0.577 0.094 0.577
13 P 0.500 0.500 0.500

Output
Space group   R-3m (166)
Magnetization   0.000 μB/atom
Calculated volume   14.82 A^3/atom
Energy of formation from the pure elements   0.505 eV/atom
Raw total energy   -105.993 eV for the cell shown

# 7
# ReP2

A geometry-optimized ReP2 structure (PBE-GGA, the Alexandria database).

abc: 3.068 3.088 4.715
angles: 90.00 90.00 90.00
Sites, in units of the cell vectors:
1 P 0.500 0.500 0.983
2 P 0.500 0.000 0.622
3 Re 0.000 0.500 0.366

Output
Space group   Pmm2 (25)
Magnetization   0.000 μB/atom
Calculated volume   14.89 A^3/atom
Energy of formation from the pure elements   0.069 eV/atom
Raw total energy   -23.062 eV for the cell shown

# 8
# ReP2

A geometry-optimized ReP2 structure (PBE-GGA, the Alexandria database).

abc: 4.068 4.068 4.068
angles: 60.00 60.00 60.00
Sites, in units of the cell vectors:
1 Re 0.000 0.000 0.000
2 P 0.750 0.750 0.750
3 P 0.250 0.250 0.250

Output
Space group   Fm-3m (225)
Magnetization   0.000 μB/atom
Calculated volume   15.87 A^3/atom
Energy of formation from the pure elements   0.130 eV/atom
Raw total energy   -22.878 eV for the cell shown

energy of formation from the pure elements of number 7 (ReP2)?
0.069 eV/atom